No. 1
A relaxed MnMo2Se crystal, computed with PBE.

## Properties
ΔE_f (raw): 895 meV/atom
Total magnetization: 0.00 μB per formula unit

The structure in extended XYZ format:
```
8
Lattice="-2.856 2.856 5.006 2.856 -2.856 5.006 2.856 2.856 -5.006" Properties=species:S:1:pos:R:3 pbc="T T T"
Mn 0.000 0.000 0.000
Mn 0.000 2.856 2.503
Mo 4.284 1.261 -1.252
Mo 1.261 1.428 1.252
Mo -1.428 1.595 3.755
Mo 1.595 1.428 6.258
Se 2.856 0.000 2.503
Se 0.000 0.000 5.006
```

=====

No. 2
A relaxed MnMo2Se crystal, computed with PBE.

## Properties
ΔE_f (raw): 233 meV/atom
Total magnetization: 1.54 μB per formula unit

The structure in extended XYZ format:
```
4
Lattice="2.950 0.000 0.000 0.000 4.336 0.000 -1.343 0.000 4.714" Properties=species:S:1:pos:R:3 pbc="T T T"
Mn 0.000 0.000 0.000
Mo 0.559 0.000 2.337
Mo 1.584 2.168 1.088
Se 1.746 2.168 3.634
```

=====

No. 3
A relaxed MnMo2Se crystal, computed with PBE.

## Properties
ΔE_f (raw): 327 meV/atom
Total magnetization: 2.39 μB per formula unit

The structure in extended XYZ format:
```
4
Lattice="-1.863 1.863 4.404 1.863 -1.863 4.404 1.863 1.863 -4.404" Properties=species:S:1:pos:R:3 pbc="T T T"
Mn 0.000 0.000 0.000
Mo 1.863 0.000 2.202
Mo 0.000 1.863 2.202
Se 0.000 0.000 4.404
```

=====

No. 4
A relaxed MnMo2Se crystal, computed with PBE.

## Properties
ΔE_f (raw): 499 meV/atom
Total magnetization: 0.47 μB per formula unit

The structure in extended XYZ format:
```
4
Lattice="0.000 3.087 3.087 3.087 0.000 3.087 3.087 3.087 0.000" Properties=species:S:1:pos:R:3 pbc="T T T"
Mn 0.000 0.000 0.000
Mo 1.544 1.544 1.544
Mo 3.087 3.087 3.087
Se 4.631 4.631 4.631
```

=====

No. 5
A relaxed MnMo2Se crystal, computed with PBE.

## Properties
ΔE_f (raw): 215 meV/atom
Total magnetization: 0.00 μB per formula unit

The structure in extended XYZ format:
```
4
Lattice="-1.484 2.197 4.404 1.484 -2.197 4.404 1.484 2.197 -4.404" Properties=species:S:1:pos:R:3 pbc="T T T"
Mn 0.000 0.000 0.000
Mo 1.484 0.000 2.220
Mo 0.000 0.000 4.803
Se 0.000 2.197 2.517
```

=====

No. 6
A relaxed MnVMoSe2 crystal, computed with PBE.

## Properties
ΔE_f (raw): 1231 meV/atom
Total magnetization: 0.54 μB per formula unit

The structure in extended XYZ format:
```
5
Lattice="4.867 0.000 0.000 0.000 4.867 0.000 0.000 0.000 4.455" Properties=species:S:1:pos:R:3 pbc="T T T"
Mn 0.000 0.000 0.000
V 2.433 2.433 0.000
Mo 0.000 0.000 2.228
Se 0.000 2.433 2.228
Se 2.433 0.000 2.228
```

=====

No. 7
A relaxed MnSiMo2 crystal, computed with PBE.

## Properties
ΔE_f (raw): -89 meV/atom
Total magnetization: 2.13 μB per formula unit

The structure in extended XYZ format:
```
4
Lattice="3.318 0.000 0.000 0.000 4.078 0.000 0.000 0.000 4.160" Properties=species:S:1:pos:R:3 pbc="T T T"
Mn 0.000 0.000 0.000
Si 1.659 0.000 2.080
Mo 0.000 2.039 2.080
Mo 1.659 2.039 0.000
```

=====

No. 8
A relaxed MnSiMo2 crystal, computed with PBE.

## Properties
ΔE_f (raw): -98 meV/atom
Total magnetization: 1.86 μB per formula unit

The structure in extended XYZ format:
```
4
Lattice="3.182 0.000 0.000 0.000 3.182 0.000 0.000 0.000 5.559" Properties=species:S:1:pos:R:3 pbc="T T T"
Mn 0.000 0.000 0.000
Si 1.591 1.591 4.299
Mo 0.000 0.000 2.949
Mo 1.591 1.591 1.407
```

=====

No. 9
A relaxed MnSiMo2 crystal, computed with PBE.

## Properties
ΔE_f (raw): 459 meV/atom
Total magnetization: 1.82 μB per formula unit

The structure in extended XYZ format:
```
8
Lattice="-3.348 3.348 2.694 3.348 -3.348 2.694 3.348 3.348 -2.694" Properties=species:S:1:pos:R:3 pbc="T T T"
Mn 0.000 0.000 0.000
Mn 0.000 3.348 1.347
Si 3.348 0.000 1.347
Si 0.000 0.000 2.694
Mo 1.674 1.663 -0.673
Mo 1.685 -1.674 3.367
Mo 1.674 1.685 2.020
Mo 1.663 5.023 0.673
```

=====

No. 10
A relaxed MnSiMo2 crystal, computed with PBE.

## Properties
ΔE_f (raw): -28 meV/atom
Total magnetization: 2.10 μB per formula unit

The structure in extended XYZ format:
```
4
Lattice="2.633 -4.103 0.000 2.633 4.103 0.000 -0.736 0.000 2.615" Properties=species:S:1:pos:R:3 pbc="T T T"
Mn 0.000 0.000 0.000
Si 2.633 0.000 0.000
Mo 0.948 2.051 1.308
Mo 0.948 -2.051 1.308
```

=====

No. 11
A relaxed MnSiMo2 crystal, computed with PBE.

## Properties
ΔE_f (raw): -79 meV/atom
Total magnetization: 1.18 μB per formula unit

The structure in extended XYZ format:
```
4
Lattice="0.000 3.019 3.019 3.019 0.000 3.019 3.019 3.019 0.000" Properties=species:S:1:pos:R:3 pbc="T T T"
Mn 0.000 0.000 0.000
Si 1.509 1.509 1.509
Mo 3.019 3.019 3.019
Mo 4.528 4.528 4.528
```

=====

No. 12
A relaxed MnSiMo2 crystal, computed with PBE.

## Properties
ΔE_f (raw): -80 meV/atom
Total magnetization: 0.87 μB per formula unit

The structure in extended XYZ format:
```
4
Lattice="2.743 0.000 0.000 0.000 4.245 0.000 -1.056 0.000 4.777" Properties=species:S:1:pos:R:3 pbc="T T T"
Mn 0.000 0.000 0.000
Si -0.614 2.122 3.575
Mo 0.818 0.000 2.472
Mo 1.693 2.122 1.060
```

=====

No. 13
A relaxed Mn2Si2Mo crystal, computed with PBE.

## Properties
ΔE_f (raw): -274 meV/atom
Total magnetization: 3.45 μB per formula unit

The structure in extended XYZ format:
```
10
Lattice="6.806 0.000 0.000 0.000 6.806 0.000 0.000 0.000 2.714" Properties=species:S:1:pos:R:3 pbc="T T T"
Mn 1.026 2.377 0.000
Mn 2.377 5.780 0.000
Mn 4.429 1.026 0.000
Mn 5.780 4.429 0.000
Si 0.972 4.374 1.357
Si 2.431 0.972 1.357
Si 4.374 5.834 1.357
Si 5.834 2.431 1.357
Mo 0.000 0.000 1.357
Mo 3.403 3.403 1.357
```

=====

No. 14
A relaxed MnSi2Mo2 crystal, computed with PBE.

## Properties
ΔE_f (raw): 52 meV/atom
Total magnetization: 3.46 μB per formula unit

The structure in extended XYZ format:
```
10
Lattice="6.826 0.000 0.000 0.000 6.826 0.000 0.000 0.000 3.255" Properties=species:S:1:pos:R:3 pbc="T T T"
Mn 0.000 0.000 0.000
Mn 3.413 3.413 0.000
Si 0.983 2.430 1.627
Si 2.430 5.843 1.627
Si 4.397 0.983 1.627
Si 5.843 4.397 1.627
Mo 1.029 4.443 0.000
Mo 2.384 1.029 0.000
Mo 4.443 5.797 0.000
Mo 5.797 2.384 0.000
```

=====

No. 15
A relaxed MnSiMo2 crystal, computed with PBE.

## Properties
ΔE_f (raw): 16 meV/atom
Total magnetization: 1.60 μB per formula unit

The structure in extended XYZ format:
```
4
Lattice="1.641 -2.176 0.000 1.641 2.176 0.000 0.000 0.000 7.934" Properties=species:S:1:pos:R:3 pbc="T T T"
Mn 0.000 0.000 0.000
Si 0.000 0.000 3.967
Mo 1.641 0.000 2.001
Mo 1.641 0.000 5.933
```

=====

No. 16
A relaxed MnSi2Mo2 crystal, computed with PBE.

## Properties
ΔE_f (raw): 119 meV/atom
Total magnetization: 1.75 μB per formula unit

The structure in extended XYZ format:
```
5
Lattice="-1.675 1.675 6.733 1.675 -1.675 6.733 1.675 1.675 -6.733" Properties=species:S:1:pos:R:3 pbc="T T T"
Mn 0.000 0.000 0.000
Si 1.675 0.000 3.366
Si 0.000 1.675 3.366
Mo 0.000 0.000 5.285
Mo 0.000 0.000 8.180
```

=====

No. 17
A relaxed MnSiMo2 crystal, computed with PBE.

## Properties
ΔE_f (raw): 161 meV/atom
Total magnetization: 0.28 μB per formula unit

The structure in extended XYZ format:
```
4
Lattice="1.388 0.801 8.443 -1.388 0.801 8.443 0.000 -1.603 8.443" Properties=species:S:1:pos:R:3 pbc="T T T"
Mn 0.000 0.000 0.000
Si 0.000 0.000 12.664
Mo 0.000 0.000 6.373
Mo 0.000 0.000 18.956
```

=====

No. 18
A relaxed MnSiMo2 crystal, computed with PBE.

## Properties
ΔE_f (raw): 133 meV/atom
Total magnetization: 0.00 μB per formula unit

The structure in extended XYZ format:
```
4
Lattice="1.378 0.795 8.525 -1.378 0.795 8.525 0.000 -1.591 8.525" Properties=species:S:1:pos:R:3 pbc="T T T"
Mn 0.000 0.000 0.000
Si 0.000 0.000 18.891
Mo 0.000 0.000 6.471
Mo 0.000 0.000 12.561
```

=====

No. 19
A relaxed MnSiMo2 crystal, computed with PBE.

## Properties
ΔE_f (raw): -11 meV/atom
Total magnetization: 1.51 μB per formula unit

The structure in extended XYZ format:
```
4
Lattice="2.945 0.000 0.000 0.000 2.945 0.000 0.000 0.000 6.401" Properties=species:S:1:pos:R:3 pbc="T T T"
Mn 0.000 0.000 0.000
Si 0.000 0.000 3.200
Mo 1.473 1.473 1.609
Mo 1.473 1.473 4.792
```

=====

No. 20
A relaxed MnSiMo2 crystal, computed with PBE.

## Properties
ΔE_f (raw): -58 meV/atom
Total magnetization: 0.77 μB per formula unit

The structure in extended XYZ format:
```
4
Lattice="2.717 0.000 0.000 0.000 4.057 0.000 -1.031 0.000 5.019" Properties=species:S:1:pos:R:3 pbc="T T T"
Mn 0.000 0.000 0.000
Si -0.516 0.000 2.509
Mo 1.050 2.028 1.252
Mo 0.636 2.028 3.766
```

=====

No. 21
A relaxed Mn4SiMo crystal, computed with PBE.

## Properties
ΔE_f (raw): 4 meV/atom
Total magnetization: 0.03 μB per formula unit

The structure in extended XYZ format:
```
6
Lattice="0.000 3.295 3.295 3.295 0.000 3.295 3.295 3.295 0.000" Properties=species:S:1:pos:R:3 pbc="T T T"
Mn 2.483 2.483 2.483
Mn 4.107 4.107 2.483
Mn 4.107 2.483 4.107
Mn 2.483 4.107 4.107
Si 4.942 4.942 4.942
Mo 0.000 0.000 0.000
```

=====

No. 22
A relaxed MnSiMo2 crystal, computed with PBE.

## Properties
ΔE_f (raw): -112 meV/atom
Total magnetization: 1.83 μB per formula unit

The structure in extended XYZ format:
```
4
Lattice="-1.856 1.856 4.074 1.856 -1.856 4.074 1.856 1.856 -4.074" Properties=species:S:1:pos:R:3 pbc="T T T"
Mn 0.000 0.000 0.000
Si 0.000 0.000 4.074
Mo 1.856 0.000 2.037
Mo 0.000 1.856 2.037
```

=====

No. 23
A relaxed MnSi3Mo crystal, computed with PBE.

## Properties
ΔE_f (raw): 760 meV/atom
Total magnetization: 4.59 μB per formula unit

The structure in extended XYZ format:
```
5
Lattice="4.367 0.000 0.000 0.000 4.367 0.000 0.000 0.000 4.367" Properties=species:S:1:pos:R:3 pbc="T T T"
Mn 0.000 0.000 0.000
Si 0.000 0.000 2.183
Si 0.000 2.183 0.000
Si 2.183 0.000 0.000
Mo 2.183 2.183 2.183
```

=====

No. 24
A relaxed MnSi2Mo2 crystal, computed with PBE.

## Properties
ΔE_f (raw): -284 meV/atom
Total magnetization: 1.46 μB per formula unit

The structure in extended XYZ format:
```
10
Lattice="6.071 0.000 0.000 0.000 6.071 0.000 0.000 0.000 3.714" Properties=species:S:1:pos:R:3 pbc="T T T"
Mn 0.000 0.000 0.000
Mn 3.036 3.036 0.000
Si 0.838 2.198 0.000
Si 2.198 5.234 0.000
Si 3.873 0.838 0.000
Si 5.234 3.873 0.000
Mo 1.021 4.057 1.857
Mo 2.015 1.021 1.857
Mo 4.057 5.050 1.857
Mo 5.050 2.015 1.857
```

=====

No. 25
A relaxed MnSiMo2 crystal, computed with PBE.

## Properties
ΔE_f (raw): -141 meV/atom
Total magnetization: 0.00 μB per formula unit

The structure in extended XYZ format:
```
4
Lattice="-1.534 2.053 4.322 1.534 -2.053 4.322 1.534 2.053 -4.322" Properties=species:S:1:pos:R:3 pbc="T T T"
Mn 0.000 0.000 0.000
Si 0.000 2.053 2.336
Mo 1.534 0.000 2.153
Mo 0.000 0.000 4.385
```

=====

No. 26
A relaxed MnSiMo2 crystal, computed with PBE.

## Properties
ΔE_f (raw): 19 meV/atom
Total magnetization: 0.00 μB per formula unit

The structure in extended XYZ format:
```
4
Lattice="2.771 0.000 0.000 0.000 4.011 0.000 0.000 0.000 5.051" Properties=species:S:1:pos:R:3 pbc="T T T"
Mn 0.000 0.000 0.000
Si 1.385 2.006 3.935
Mo 0.000 0.000 2.764
Mo 1.385 2.006 1.336
```

=====

No. 27
A relaxed MnSiMo2 crystal, computed with PBE.

## Properties
ΔE_f (raw): -44 meV/atom
Total magnetization: 1.66 μB per formula unit

The structure in extended XYZ format:
```
4
Lattice="1.637 -2.154 0.000 1.637 2.154 0.000 0.000 0.000 7.960" Properties=species:S:1:pos:R:3 pbc="T T T"
Mn 0.000 0.000 0.000
Si 1.637 0.000 1.685
Mo 0.000 0.000 3.686
Mo 1.637 0.000 5.934
```

=====

No. 28
A relaxed MnSiMo2 crystal, computed with PBE.

## Properties
ΔE_f (raw): -26 meV/atom
Total magnetization: 1.86 μB per formula unit

The structure in extended XYZ format:
```
4
Lattice="4.335 0.000 0.000 0.000 4.335 0.000 0.000 0.000 2.983" Properties=species:S:1:pos:R:3 pbc="T T T"
Mn 0.000 0.000 0.000
Si 2.167 2.167 0.000
Mo 0.000 2.167 1.492
Mo 2.167 0.000 1.492
```

=====

No. 29
A relaxed SmMnSi2Mo crystal, computed with PBE.

## Properties
ΔE_f (raw): -513 meV/atom
Total magnetization: 2.37 μB per formula unit

The structure in extended XYZ format:
```
5
Lattice="-1.993 1.993 5.492 1.993 -1.993 5.492 1.993 1.993 -5.492" Properties=species:S:1:pos:R:3 pbc="T T T"
Sm 0.000 0.000 0.000
Mn 1.993 0.000 2.746
Si 0.000 0.000 4.249
Si 0.000 0.000 6.735
Mo 0.000 1.993 2.746
```